The following is a meta-GGA SCAN calculation of a PBEsol-optimized structure of CdPt2Br, from Alexandria via LeMat-Bulk.

Output
The value obtained for the density of states at the Fermi level is 2.5 states/eV per cell. As for the uncorrected formation energy: 0.454 eV/atom. As for the magnetic moment: 0.00 μB per cell.

a = 5.2318 Å, b = 5.2318 Å, c = 5.2318 Å
α = 135.39°, β = 135.39°, γ = 64.93°
Fractional positions:
Cd1 0.0000 0.0000 0.0000
Pt1 0.5000 0.5000 0.0000
Pt2 0.7500 0.2500 0.5000
Br1 0.2500 0.7500 0.5000

The following is a meta-GGA SCAN calculation of a PBEsol-optimized structure of CdPt2Br, from Alexandria via LeMat-Bulk.

Output
The value obtained for the density of states at the Fermi level is 2.6 states/eV per cell. As for the uncorrected formation energy: 0.458 eV/atom. As for the magnetic moment: 0.00 μB per cell.

a = 4.9561 Å, b = 4.9561 Å, c = 2.9525 Å
α = 90.00°, β = 90.00°, γ = 107.34°
Fractional positions:
Cd1 0.0000 0.0000 0.0000
Pt1 0.0000 0.5000 0.5000
Pt2 0.5000 0.0000 0.5000
Br1 0.5000 0.5000 0.0000

The following is a meta-GGA SCAN calculation of a PBEsol-optimized structure of CdPtBr2, from Alexandria via LeMat-Bulk.

Output
The value obtained for the density of states at the Fermi level is 1.9 states/eV per cell. As for the uncorrected formation energy: -0.151 eV/atom. As for the magnetic moment: 0.00 μB per cell.

a = 7.3022 Å, b = 7.3022 Å, c = 7.3022 Å
α = 32.20°, β = 32.20°, γ = 32.20°
Fractional positions:
Cd1 0.0000 0.0000 0.0000
Pt1 0.7417 0.7417 0.7417
Br1 0.2592 0.2592 0.2592
Br2 0.4541 0.4541 0.4541